{
  "formula": "TiS2BrCl",
  "functional": "GGA-PBE",
  "state": "optimized geometry",
  "spacegroup": "P4/mmm, No. 123",
  "raw_formation_energy_mev_per_atom": 899,
  "e_above_lowest_polymorph_mev_per_atom": 1313.8,
  "lattice": [[4.9394, 0.0000, 0.0000], [0.0000, 4.9394, 0.0000], [0.0000, 0.0000, 4.9005]],
  "species": ["Ti", "S", "S", "Br", "Cl"],
  "fractional_positions": [[0.0000, 0.0000, 0.0000], [0.0000, 0.5000, 0.5000], [0.5000, 0.0000, 0.5000], [0.5000, 0.5000, 0.5000], [0.5000, 0.5000, 0.0000]]
}